(1)
A plane-wave DFT calculation with SCAN was carried out for a crystal of Sr4P2O relaxed with PBEsol.

Cell and atoms, written as extended XYZ:
```
7
Lattice="-2.386 2.386 7.912 2.386 -2.386 7.912 2.386 2.386 -7.912" Properties=species:S:1:pos:R:3 pbc="T T T"
Sr 2.386 0.000 0.000
Sr 0.000 0.000 2.771
Sr 0.000 2.386 0.000
Sr 0.000 0.000 13.053
P 0.000 0.000 5.778
P 0.000 0.000 10.046
O 0.000 0.000 0.000
```

The value obtained for the total energy is -1.349 Ry per atom. The value obtained for the formation energy from raw total energies is -1.76 eV/atom. As for the symmetry: I4/mmm (139).

***

(2)
A plane-wave DFT calculation with SCAN was carried out for a crystal of SrP2O6 relaxed with PBEsol.

Cell and atoms, written as extended XYZ:
```
72
Lattice="7.396 0.000 0.000 0.000 18.647 0.000 -0.025 0.000 7.396" Properties=species:S:1:pos:R:3 pbc="T T T"
Sr 0.042 0.000 0.049
Sr 0.052 6.977 3.642
Sr 3.652 11.626 0.046
Sr 3.642 13.958 3.765
Sr 3.718 2.302 7.350
Sr 3.729 4.635 3.631
Sr 7.318 16.301 3.754
Sr 7.329 9.323 7.348
P 0.043 3.204 7.006
P 0.049 3.786 4.032
P 0.386 6.097 0.085
P 0.383 0.880 3.618
P 3.355 1.451 3.614
P 3.372 5.525 0.079
P 3.598 8.431 7.021
P 3.622 7.861 4.037
P 3.748 17.184 3.359
P 3.773 17.755 0.375
P 3.999 14.848 7.318
P 4.016 10.775 3.783
P 6.988 10.204 3.779
P 6.985 15.420 7.311
P 7.328 12.527 0.391
P 7.321 13.109 3.365
O 0.193 16.290 6.247
O 0.215 9.324 4.824
O 0.304 11.641 3.881
O 0.291 13.978 7.219
O 0.335 6.653 6.096
O 0.389 0.349 5.013
O 0.552 3.528 5.526
O 1.182 11.699 0.391
O 1.178 13.934 3.395
O 1.224 4.382 3.320
O 1.246 2.592 0.303
O 1.861 1.205 3.104
O 1.874 5.778 0.565
O 2.348 16.666 3.386
O 2.427 9.015 0.308
O 2.535 18.602 0.342
O 2.580 6.988 3.403
O 3.118 8.130 5.528
O 3.292 11.342 4.963
O 3.342 16.309 7.211
O 3.373 13.984 6.263
O 3.385 2.296 4.855
O 3.397 4.988 6.081
O 3.506 9.315 3.367
O 3.865 18.638 4.030
O 3.974 14.312 1.315
O 3.986 11.620 2.541
O 3.998 4.661 1.134
O 4.029 6.986 0.186
O 4.079 2.019 2.433
O 4.253 17.453 1.868
O 4.791 16.311 3.994
O 4.836 9.278 7.054
O 4.944 18.338 7.088
O 5.022 7.342 4.011
O 5.496 15.102 6.831
O 5.510 10.529 4.292
O 6.125 11.915 7.094
O 6.147 13.706 4.076
O 6.192 4.611 4.001
O 6.189 2.375 7.005
O 6.819 12.851 1.871
O 6.982 9.672 2.383
O 7.036 15.976 1.301
O 7.067 2.318 3.515
O 7.080 4.654 0.177
O 7.155 0.001 2.572
O 7.177 6.967 1.149
```

The value obtained for the total energy is -0.862 Ry per atom. The value obtained for the formation energy from raw total energies is -2.79 eV/atom. As for the symmetry: P2_1 (4).

***

(3)
A plane-wave DFT calculation with SCAN was carried out for a crystal of SrPO2 relaxed with PBEsol.

Cell and atoms, written as extended XYZ:
```
4
Lattice="1.907 1.101 5.692 -1.907 1.101 5.692 0.000 -2.201 5.692" Properties=species:S:1:pos:R:3 pbc="T T T"
Sr 0.000 0.000 0.000
P 0.000 0.000 8.538
O 0.000 0.000 6.868
O 0.000 0.000 10.207
```

The value obtained for the total energy is -0.964 Ry per atom. The value obtained for the formation energy from raw total energies is -1.84 eV/atom. As for the symmetry: R-3m (166).

***

(4)
A plane-wave DFT calculation with SCAN was carried out for a crystal of SrP2O2 relaxed with PBEsol.

Cell and atoms, written as extended XYZ:
```
5
Lattice="4.241 0.000 0.000 0.000 4.241 0.000 0.000 0.000 6.573" Properties=species:S:1:pos:R:3 pbc="T T T"
Sr 0.000 0.000 0.000
P 0.000 0.000 3.286
P 2.121 2.121 3.286
O 0.000 2.121 0.000
O 2.121 0.000 0.000
```

The value obtained for the total energy is -0.782 Ry per atom. The value obtained for the formation energy from raw total energies is 0.47 eV/atom. The energy above the most stable polymorph in this dataset comes out at 1.3262 eV/atom. As for the symmetry: P4/mmm (123).

***

(5)
A plane-wave DFT calculation with SCAN was carried out for a crystal of SrTaP2O relaxed with PBEsol.

Cell and atoms, written as extended XYZ:
```
5
Lattice="4.933 0.000 0.000 0.000 4.933 0.000 0.000 0.000 3.956" Properties=species:S:1:pos:R:3 pbc="T T T"
Sr 0.000 0.000 0.000
Ta 2.467 2.467 1.978
P 0.000 2.467 1.978
P 2.467 0.000 1.978
O 2.467 2.467 0.000
```

The value obtained for the total energy is -1.800 Ry per atom. The value obtained for the formation energy from raw total energies is -1.32 eV/atom. As for the symmetry: P4/mmm (123).

***

(6)
A plane-wave DFT calculation with SCAN was carried out for a crystal of SrTaPO2 relaxed with PBEsol.

Cell and atoms, written as extended XYZ:
```
5
Lattice="4.047 0.000 0.000 0.000 4.047 0.000 0.000 0.000 4.979" Properties=species:S:1:pos:R:3 pbc="T T T"
Sr 0.000 0.000 0.000
Ta 2.024 2.024 2.490
P 2.024 2.024 0.000
O 0.000 2.024 2.490
O 2.024 0.000 2.490
```

The value obtained for the total energy is -1.803 Ry per atom. The value obtained for the formation energy from raw total energies is -2.19 eV/atom. As for the symmetry: P4/mmm (123).

***

(7)
A plane-wave DFT calculation with SCAN was carried out for a crystal of Sr2Zn3Te2P2O14 relaxed with PBEsol.

Cell and atoms, written as extended XYZ:
```
46
Lattice="5.225 0.000 0.000 0.000 7.758 0.000 -0.222 0.000 15.293" Properties=species:S:1:pos:R:3 pbc="T T T"
Sr -0.057 0.384 4.571
Sr -0.168 3.495 12.217
Sr 5.170 4.263 3.076
Sr 5.059 7.373 10.722
Zn 2.396 4.780 9.425
Zn 2.507 6.857 1.779
Zn 2.501 0.000 7.646
Zn 2.612 3.879 0.000
Zn 2.495 0.901 13.514
Zn 2.606 2.978 5.868
Te -0.072 5.645 7.482
Te -0.183 5.992 15.129
Te 5.186 1.766 0.164
Te 5.075 2.113 7.810
P 2.169 5.753 12.352
P 2.280 5.884 4.706
P 2.723 1.874 10.587
P 2.834 2.005 2.941
O 0.957 4.215 8.256
O 1.064 4.693 0.842
O 0.953 6.944 8.488
O 1.068 7.422 0.610
O 1.247 1.792 6.543
O 1.136 2.087 14.189
O 1.210 1.890 10.834
O 1.321 1.989 3.187
O 1.376 5.310 11.065
O 1.488 6.326 3.419
O 1.679 4.487 5.035
O 1.568 7.150 12.682
O 1.766 4.758 13.464
O 1.878 6.879 5.818
O 3.125 0.879 9.475
O 3.236 3.000 1.829
O 3.435 0.608 2.611
O 3.323 3.271 10.257
O 3.515 1.432 11.874
O 3.626 2.447 4.228
O 3.681 5.769 12.105
O 3.792 5.868 4.459
O 3.867 5.671 1.104
O 3.756 5.966 8.750
O 3.934 0.336 14.683
O 4.049 0.814 6.804
O 3.938 3.065 14.451
O 4.045 3.543 7.036
```

The value obtained for the total energy is -1.018 Ry per atom. The value obtained for the formation energy from raw total energies is -2.22 eV/atom. As for the symmetry: P2_1/c (14).

***

(8)
A plane-wave DFT calculation with SCAN was carried out for a crystal of SrTl2P4O12 relaxed with PBEsol.

Cell and atoms, written as extended XYZ:
```
19
Lattice="-3.785 3.785 5.084 3.785 -3.785 5.084 3.785 3.785 -5.084" Properties=species:S:1:pos:R:3 pbc="T T T"
Sr 0.000 0.000 0.000
Tl 0.000 3.785 0.839
Tl 0.000 3.785 4.245
P 2.603 -1.637 2.218
P 5.422 -1.182 2.866
P 4.967 1.637 2.218
P 2.149 1.182 2.866
O 2.886 2.399 -3.008
O 1.422 1.887 -0.916
O 2.338 -0.393 3.226
O 5.683 1.422 0.916
O 1.447 4.178 -1.857
O 3.392 1.447 1.857
O 0.899 1.386 2.076
O 2.363 1.898 4.167
O 1.386 -0.899 8.092
O -1.898 2.363 6.000
O 2.399 4.684 3.008
O 0.393 2.338 6.941
```

The value obtained for the total energy is -1.273 Ry per atom. The value obtained for the formation energy from raw total energies is -2.41 eV/atom. As for the symmetry: I-4 (82).

***

(9)
A plane-wave DFT calculation with SCAN was carried out for a crystal of SrVPO6 relaxed with PBEsol.

Cell and atoms, written as extended XYZ:
```
36
Lattice="5.485 0.000 0.000 0.000 9.751 0.000 -0.200 0.000 8.486" Properties=species:S:1:pos:R:3 pbc="T T T"
Sr 0.693 1.838 3.615
Sr 0.593 3.038 7.858
Sr 4.693 6.713 0.628
Sr 4.593 7.913 4.871
V 1.788 5.767 3.498
V 1.688 8.859 7.742
V 3.597 0.891 0.745
V 3.497 3.984 4.988
P 1.683 5.912 6.669
P 1.783 8.714 2.426
P 3.503 1.036 6.060
P 3.603 3.839 1.817
O 0.385 6.221 2.798
O 0.285 8.405 7.041
O 0.460 5.608 7.512
O 0.559 9.018 3.269
O 1.280 6.452 5.248
O 1.380 8.174 1.005
O 1.524 0.728 8.198
O 1.624 4.147 3.955
O 2.540 0.334 2.291
O 2.441 4.541 6.534
O 2.570 2.100 5.413
O 2.670 2.776 1.170
O 2.616 6.975 7.317
O 2.715 7.651 3.073
O 2.845 5.209 1.953
O 2.745 9.417 6.196
O 3.662 5.603 4.531
O 3.762 9.023 0.288
O 3.906 1.576 7.482
O 4.006 3.299 3.238
O 4.726 0.733 5.217
O 4.826 4.142 0.974
O 5.001 1.346 1.445
O 4.901 3.529 5.689
```

The value obtained for the total energy is -0.925 Ry per atom. The value obtained for the formation energy from raw total energies is -2.86 eV/atom. As for the symmetry: P2_1/c (14).

***

(10)
A plane-wave DFT calculation with SCAN was carried out for a crystal of SrVP2O8 relaxed with PBEsol.

Cell and atoms, written as extended XYZ:
```
24
Lattice="5.936 0.000 0.000 -1.317 6.901 0.000 -1.928 -3.204 7.930" Properties=species:S:1:pos:R:3 pbc="T T T"
Sr 0.320 0.118 3.499
Sr 2.371 3.579 4.431
V 0.046 5.457 0.346
V 2.645 -1.760 7.584
P -0.718 3.156 2.238
P 0.490 -2.404 6.332
P 2.201 6.101 1.599
P 3.408 0.541 5.692
O -0.442 2.458 0.839
O -1.167 0.912 5.195
O -0.668 4.724 1.873
O -1.996 3.674 6.976
O 0.052 -1.929 4.979
O 0.452 2.794 3.131
O 2.161 -0.036 1.577
O 1.779 4.941 0.567
O 0.912 -1.245 7.364
O 0.530 3.733 6.354
O 2.239 0.903 4.800
O 2.639 5.626 2.952
O 4.687 0.023 0.955
O 3.358 -1.027 6.057
O 3.858 2.785 2.735
O 3.133 1.239 7.092
```

The value obtained for the total energy is -0.874 Ry per atom. The value obtained for the formation energy from raw total energies is -2.69 eV/atom. As for the symmetry: P-1 (2).

***

(11)
A plane-wave DFT calculation with SCAN was carried out for a crystal of Sr2VP3O12 relaxed with PBEsol.

Cell and atoms, written as extended XYZ:
```
36
Lattice="5.422 -6.049 0.000 5.422 6.049 0.000 -5.396 0.000 7.183" Properties=species:S:1:pos:R:3 pbc="T T T"
Sr 0.591 0.545 2.278
Sr -2.107 -0.545 5.869
Sr 7.555 0.545 1.314
Sr 4.857 -0.545 4.906
V 2.711 3.025 0.000
V 0.013 -3.025 3.592
P 2.317 3.743 3.200
P 5.829 3.743 0.392
P 4.073 0.558 1.796
P 1.375 -0.558 5.388
P -0.381 -3.743 6.791
P 3.131 -3.743 3.984
O -1.623 1.032 3.450
O 2.687 3.958 1.663
O -0.983 3.771 6.830
O 1.575 2.461 3.358
O -4.321 -1.032 7.042
O 3.523 1.554 0.686
O 3.733 3.771 3.945
O 5.460 3.958 1.929
O 0.189 0.221 5.848
O 6.572 2.461 0.234
O 2.887 -0.221 2.257
O 4.624 1.554 2.905
O 0.825 -1.554 4.278
O 2.562 0.221 4.927
O -1.123 -2.461 6.950
O 5.260 -0.221 1.335
O -0.011 -3.958 5.255
O 1.715 -3.771 3.238
O 1.925 -1.554 6.497
O 9.770 1.032 0.141
O 3.874 -2.461 3.825
O 6.431 -3.771 0.353
O 2.762 -3.958 5.520
O 7.072 -1.032 3.733
```

The value obtained for the total energy is -0.888 Ry per atom. The value obtained for the formation energy from raw total energies is -2.75 eV/atom. As for the symmetry: C2/c (15).

***

(12)
A plane-wave DFT calculation with SCAN was carried out for a crystal of SrVZnP2O8 relaxed with PBEsol.

Cell and atoms, written as extended XYZ:
```
26
Lattice="5.448 0.000 0.000 -0.966 6.780 0.000 -1.843 -3.634 8.410" Properties=species:S:1:pos:R:3 pbc="T T T"
Sr 0.932 1.842 0.389
Sr 1.707 1.304 8.021
V 0.496 2.803 3.666
V 2.144 0.343 4.744
Zn -0.732 -0.514 3.005
Zn 3.372 3.660 5.405
P -0.857 0.704 5.896
P 0.822 5.413 1.940
P 1.817 -2.266 6.471
P 3.496 2.442 2.514
O -1.298 -0.437 4.899
O -0.700 1.478 2.525
O -0.008 6.081 0.833
O -0.598 0.237 7.312
O 0.655 3.880 1.906
O 0.314 -2.634 6.616
O 1.195 -0.839 3.304
O 0.390 1.424 5.301
O 2.249 1.722 3.109
O 1.444 3.985 5.107
O 2.326 5.780 1.794
O 1.985 -0.734 6.504
O 3.238 2.909 1.099
O 2.647 -2.935 7.577
O 3.340 1.668 5.885
O 3.938 3.583 3.511
```

The value obtained for the total energy is -0.894 Ry per atom. The value obtained for the formation energy from raw total energies is -2.63 eV/atom. As for the symmetry: P-1 (2).

***

(13)
A plane-wave DFT calculation with SCAN was carried out for a crystal of SrZnPO2 relaxed with PBEsol.

Cell and atoms, written as extended XYZ:
```
5
Lattice="4.390 0.000 0.000 0.000 4.390 0.000 0.000 0.000 6.195" Properties=species:S:1:pos:R:3 pbc="T T T"
Sr 0.000 0.000 0.000
Zn 2.195 2.195 3.098
P 0.000 0.000 3.098
O 0.000 2.195 0.000
O 2.195 0.000 0.000
```

The value obtained for the total energy is -0.849 Ry per atom. The value obtained for the formation energy from raw total energies is 0.18 eV/atom. As for the symmetry: P4/mmm (123).